Entry 1:
## SrCd2Ru (GGA-PBE)

Data for a relaxed SrCd2Ru crystal.

Results
VASP energy = -3.02 eV/atom
Crystal system = tetragonal
ΔE_f = 0.177 eV/atom

Unit cell a=3.603 b=3.603 c=7.095 alpha=90.00 beta=90.00 gamma=90.00
Space group P4/mmm (No. 123)
One atom of each set of equivalent atoms:
1 Sr 0.000 0.000 0.000 x1
2 Cd 0.500 0.500 0.305 x2
3 Ru 0.000 0.000 0.500 x1

Entry 2:
## NaPmAgPb (GGA-PBE)

Data for a relaxed NaPmAgPb crystal.

Results
VASP energy = -3.43 eV/atom
Crystal system = cubic
ΔE_f = -0.268 eV/atom

Unit cell a=7.492 b=7.492 c=7.492 alpha=90.00 beta=90.00 gamma=90.00
Space group F-43m (No. 216)
One atom of each set of equivalent atoms:
1 Na 0.000 0.000 0.000 x4
2 Pm 0.000 0.000 0.500 x4
3 Ag 0.250 0.250 0.750 x4
4 Pb 0.250 0.250 0.250 x4